No. 1
Below is an optimized crystal structure of NbSnAs2I, with properties calculated at the GGA-PBE level.

Properties
**Uncorrected energy**: -3.761 eV/atom
**Energy relative to the elements, uncorrected**: 1.223 eV/atom
**Magnetization**: 0.22 μB/cell
**Volume**: 29.904 Å³/atom

Cell lengths 5.209, 5.512, 5.209 Å; angles 90.00, 90.00, 90.00 degrees
Element x y z (fractional)
As 0.000 0.000 0.500
As 0.500 0.000 0.000
Nb 0.000 0.500 0.000
Sn 0.000 0.000 0.000
I 0.500 0.500 0.500



No. 2
Below is an optimized crystal structure of SrNbAs2I, with properties calculated at the GGA-PBE level.

Properties
**Uncorrected energy**: -3.341 eV/atom
**Energy relative to the elements, uncorrected**: 1.179 eV/atom
**Magnetization**: 3.63 μB/cell
**Volume**: 34.813 Å³/atom

Cell lengths 5.496, 5.763, 5.496 Å; angles 90.00, 90.00, 90.00 degrees
Element x y z (fractional)
Nb 0.500 0.500 0.500
As 0.000 0.000 0.500
As 0.500 0.000 0.000
Sr 0.000 0.500 0.000
I 0.000 0.000 0.000



No. 3
Below is an optimized crystal structure of NbTeAsI2, with properties calculated at the GGA-PBE level.

Properties
**Uncorrected energy**: -3.714 eV/atom
**Energy relative to the elements, uncorrected**: 0.479 eV/atom
**Magnetization**: 3.03 μB/cell
**Volume**: 34.574 Å³/atom
**E above lowest polymorph**: 0.00 eV/f.u.

Cell lengths 5.641, 5.641, 5.432 Å; angles 90.00, 90.00, 90.00 degrees
Element x y z (fractional)
Nb 0.000 0.000 0.000
As 0.500 0.500 0.500
I 0.500 0.000 0.000
I 0.000 0.500 0.000
Te 0.000 0.000 0.500



No. 4
Below is an optimized crystal structure of NbTeAsI2, with properties calculated at the GGA-PBE level.

Properties
**Uncorrected energy**: -3.268 eV/atom
**Energy relative to the elements, uncorrected**: 0.924 eV/atom
**Magnetization**: 3.12 μB/cell
**Volume**: 33.904 Å³/atom
**E above lowest polymorph**: 2.23 eV/f.u.

Cell lengths 5.472, 5.472, 5.662 Å; angles 90.00, 90.00, 90.00 degrees
Element x y z (fractional)
As 0.000 0.000 0.000
I 0.500 0.000 0.000
I 0.000 0.500 0.000
Nb 0.500 0.500 0.500
Te 0.000 0.000 0.500



Q: Among the records above, which one has the lowest volume?
A: NbSnAs2I